Record 1
Density functional theory data (PBE) for a relaxed structure of Rb2LaCoI6.

Cell lengths 8.437, 8.437, 8.436 Å; angles 60.00, 60.00, 90.00 degrees
Last column: magnetic moment on the atom in μB.
Positions (direct):
I 0.264 0.264 0.472  0.02
I 0.736 0.736 0.528  0.02
I 0.264 0.264 0.000  0.02
I 0.736 0.736 0.000  0.02
I 0.736 0.264 0.000  0.02
I 0.264 0.736 0.000  0.02
Co 0.500 0.500 0.000  1.83
Rb 0.750 0.250 0.500  0.00
Rb 0.250 0.750 0.500  0.00
La 0.000 0.000 0.000  0.04

Summary:
**Space-group type**: Fm-3m

=====

Record 2
Density functional theory data (PBE) for a relaxed structure of ScMoCl2.

Cell lengths 3.162, 3.162, 9.546 Å; angles 90.00, 90.00, 114.23 degrees
Last column: magnetic moment on the atom in μB.
Positions (direct):
Sc 0.500 0.500 0.742  -0.01
Mo 0.000 0.000 0.506  0.30
Cl 0.000 0.000 0.932  0.00
Cl 0.500 0.500 0.320  0.01

Summary:
**ΔE to the lowest computed polymorph**: 1.012 eV per formula unit
**Space-group type**: Cmm2

=====

Record 3
Density functional theory data (PBE) for a relaxed structure of NaSrSn2Se4.

Cell lengths 6.184, 6.184, 7.396 Å; angles 116.24, 116.24, 86.70 degrees
Positions (direct):
Na 0.439 0.439 0.000
Sr 0.939 0.939 0.000
Sn 0.160 0.660 0.500
Sn 0.660 0.160 0.500
Se 0.945 0.440 0.000
Se 0.440 0.945 0.000
Se 0.214 0.214 0.515
Se 0.699 0.699 0.485

Summary:
**Space-group type**: Fmm2

=====

| no. | D(E_F) (states/eV per cell) | formation energy (no corrections) (eV per atom) | volume (A^3/atom) |
| --- | --- | --- | --- |
| 1 | 0.000 | -1.065 | 42.46 |
| 2 | 3.427 | -0.557 | 21.75 |
| 3 | 2.393 | -0.946 | 28.02 |